GGA-PBE KLa2Y3Te6, relaxed; ΔE_f (raw) = -1.43 eV/atom; space-group type = C2/m, No. 12
1.0
-3.339 1.113 2.711
0.167 -8.412 3.659
7.940 4.703 4.208
La Te Y K
2 6 3 1
direct
0.170 0.341 0.340 La
0.830 0.659 0.660 La
0.327 0.926 0.653 Te
0.002 0.734 0.003 Te
0.998 0.266 0.997 Te
0.673 0.074 0.347 Te
0.338 0.409 0.676 Te
0.662 0.591 0.324 Te
0.500 0.500 0.000 Y
0.164 0.823 0.329 Y
0.836 0.177 0.671 Y
0.500 0.000 0.000 K

=====

GGA-PBE Ca2InIr, relaxed; calculated formation energy = -0.23 eV per atom; space-group type = Cmmm, No. 65
1.0
4.818 0.028 -0.008
-0.036 4.818 -0.008
0.006 0.006 4.013
Ir Ca In
1 2 1
direct
0.000 0.500 0.500 Ir
0.500 0.500 0.000 Ca
0.000 0.000 0.000 Ca
0.500 0.000 0.500 In

=====

GGA-PBE ScBe2W2, relaxed; energy relative to the lowest polymorph listed for this composition = 175 meV per atom; calculated formation energy = 0.26 eV per atom; space-group type = P4/mbm, No. 127
1.0
-7.118 0.899 -1.891
-0.223 -6.988 -2.482
-0.746 -0.833 2.411
Sc W Be
2 4 4
direct
0.000 0.000 0.000 Sc
0.500 0.500 0.000 Sc
0.121 0.379 0.000 W
0.879 0.621 0.000 W
0.379 0.879 0.000 W
0.621 0.121 0.000 W
0.673 0.827 0.500 Be
0.827 0.327 0.500 Be
0.327 0.173 0.500 Be
0.173 0.673 0.500 Be

=====

GGA-PBE ReMo2Se, relaxed; ΔE_f (raw) = 0.30 eV/atom; space-group type = Pm, No. 6
1.0
-1.414 1.369 -3.760
2.577 -0.690 -1.221
-0.789 -4.912 -1.491
Re Mo Se
1 2 1
direct
0.000 0.626 0.487 Re
0.000 0.007 0.990 Mo
0.500 0.294 0.257 Mo
0.500 0.573 0.766 Se